No. 1
Below is a geometry-optimized Nb2SiOsRh structure, with properties calculated at the GGA-PBE level.

```
5
Lattice="4.5922 0.0000 0.0000 0.0000 4.5922 0.0000 0.0000 0.0000 4.3271" Properties=species:S:1:pos:R:3 pbc="T T T"
Nb 0.0000 2.2961 0.0000
Nb 2.2961 0.0000 0.0000
Si 0.0000 0.0000 0.0000
Os 0.0000 0.0000 2.1635
Rh 2.2961 2.2961 2.1635
```

## Properties
* energy relative to the elements, uncorrected: 0.7663 eV per atom
* space group: P4/mmm, No. 123
* volume: 91 Å³ per cell

No. 2
Below is a geometry-optimized SmFeB2Os structure, with properties calculated at the GGA-PBE level.

```
10
Lattice="3.7918 0.0000 0.0000 0.0000 3.7918 0.0000 0.0000 0.0000 9.8952" Properties=species:S:1:pos:R:3 pbc="T T T"
Sm 0.0000 0.0000 0.0000
Sm 1.8959 1.8959 4.9476
Fe 0.0000 1.8959 7.4214
Fe 1.8959 0.0000 2.4738
B 0.0000 0.0000 3.3301
B 0.0000 0.0000 6.5651
B 1.8959 1.8959 1.6175
B 1.8959 1.8959 8.2777
Os 0.0000 1.8959 2.4738
Os 1.8959 0.0000 7.4214
```

## Properties
* E: -7.944 eV/atom
* space group: I-4m2, No. 119
* volume: 142 Å³ per cell

No. 3
Below is a geometry-optimized La4HgBiO structure, with properties calculated at the GGA-PBE level.

```
14
Lattice="3.4820 -8.5542 0.0000 3.4820 8.5542 0.0000 0.0000 0.0000 6.9604" Properties=species:S:1:pos:R:3 pbc="T T T"
La 1.7410 4.2771 0.0000
La 1.7410 4.2771 3.4802
La 3.4820 7.3365 5.2203
La 3.4820 1.4284 5.2203
La 1.7410 -4.2771 0.0000
La 1.7410 -4.2771 3.4802
La 3.4820 -1.4284 1.7401
La 3.4820 -7.3365 1.7401
Hg 3.4820 6.5877 1.7401
Hg 3.4820 -6.5877 5.2203
Bi 3.4820 1.8553 1.7401
Bi 3.4820 -1.8553 5.2203
O 3.4820 4.2631 5.2203
O 3.4820 -4.2631 1.7401
```

## Properties
* energy relative to the elements, uncorrected: -1.2292 eV per atom
* space group: Cmcm, No. 63
* volume: 415 Å³ per cell

No. 4
Below is a geometry-optimized NaLiMgPb structure, with properties calculated at the GGA-PBE level.

```
16
Lattice="7.1656 0.0000 0.0000 0.0000 7.1656 0.0000 0.0000 0.0000 7.1656" Properties=species:S:1:pos:R:3 pbc="T T T"
Na 0.0000 0.0000 0.0000
Na 0.0000 3.5828 3.5828
Na 3.5828 0.0000 3.5828
Na 3.5828 3.5828 0.0000
Li 1.7914 1.7914 1.7914
Li 1.7914 5.3742 5.3742
Li 5.3742 1.7914 5.3742
Li 5.3742 5.3742 1.7914
Mg 1.7914 1.7914 5.3742
Mg 1.7914 5.3742 1.7914
Mg 5.3742 1.7914 1.7914
Mg 5.3742 5.3742 5.3742
Pb 0.0000 0.0000 3.5828
Pb 0.0000 3.5828 0.0000
Pb 3.5828 0.0000 0.0000
Pb 3.5828 3.5828 3.5828
```

## Properties
* E: -2.321 eV/atom
* space group: F-43m, No. 216
* volume: 368 Å³ per cell

No. 5
Below is a geometry-optimized KPaH2F8 structure, with properties calculated at the GGA-PBE level.

```
12
Lattice="5.1437 0.0000 0.0000 -2.5718 4.4545 0.0000 0.0000 0.0000 7.9524" Properties=species:S:1:pos:R:3 pbc="T T T"
K 0.0000 0.0000 0.0000
Pa 0.0000 0.0000 3.9762
H 0.0000 2.9697 6.5301
H 2.5718 1.4848 1.4223
F -0.7559 1.4664 5.2986
F -0.9240 4.3760 5.2986
F 0.8919 1.3878 2.6539
F 0.0000 2.9697 7.4870
F 2.5718 1.4848 0.4654
F 1.6799 3.0667 5.2986
F 3.4958 0.0785 2.6539
F 3.3277 2.9882 2.6539
```

## Properties
* E: -5.603 eV/atom
* space group: P-3, No. 147
* volume: 182 Å³ per cell

No. 6
Below is a geometry-optimized Ce2CdIr structure, with properties calculated at the GGA-PBE level.

```
12
Lattice="4.0901 0.0000 0.0000 -2.0450 3.5421 0.0000 0.0000 0.0000 23.6135" Properties=species:S:1:pos:R:3 pbc="T T T"
Ce 0.0000 0.0000 0.0000
Ce 0.0000 0.0000 4.8125
Ce 0.0000 2.3614 15.7424
Ce 0.0000 2.3614 20.5549
Ce 2.0450 1.1807 7.8712
Ce 2.0450 1.1807 12.6837
Cd 0.0000 0.0000 10.2644
Cd 0.0000 2.3614 2.3932
Cd 2.0450 1.1807 18.1356
Ir 0.0000 0.0000 14.2052
Ir 0.0000 2.3614 6.3340
Ir 2.0450 1.1807 22.0764
```

## Properties
* space group: R3m, No. 160
* energy above the most stable polymorph in this dataset: 0.25 eV per formula unit
* volume: 342 Å³ per cell

No. 7
Below is a geometry-optimized UTc2P structure, with properties calculated at the GGA-PBE level.

```
4
Lattice="4.1168 0.0000 0.0000 0.0000 4.1168 0.0000 0.0000 0.0000 3.7485" Properties=species:S:1:pos:R:3 pbc="T T T"
U 0.0000 0.0000 0.0000
Tc 0.0000 2.0584 1.8742
Tc 2.0584 0.0000 1.8742
P 2.0584 2.0584 0.0000
```

## Properties
* space group: P4/mmm, No. 123
* energy above the most stable polymorph in this dataset: 0.00 eV per formula unit
* volume: 64 Å³ per cell

No. 8
Below is a geometry-optimized NaIn4Pt2 structure, with properties calculated at the GGA-PBE level.

```
14
Lattice="8.9319 0.0000 0.0000 0.0000 8.9319 0.0000 0.0000 0.0000 4.1276" Properties=species:S:1:pos:R:3 pbc="T T T"
Na 0.0000 0.0000 0.0000
Na 4.4659 4.4659 2.0638
In 0.4148 2.6638 2.0638
In 1.8021 4.8808 0.0000
In 2.6638 0.4148 2.0638
In 4.0511 7.1298 0.0000
In 4.8808 1.8021 0.0000
In 6.2681 8.5170 2.0638
In 7.1298 4.0511 0.0000
In 8.5170 6.2681 2.0638
Pt 2.1942 2.1942 0.0000
Pt 2.2717 6.6602 2.0638
Pt 6.6602 2.2717 2.0638
Pt 6.7377 6.7377 0.0000
```

## Properties
* space group: P4_2/mnm, No. 136
* energy above the most stable polymorph in this dataset: 0.44 eV per formula unit
* volume: 329 Å³ per cell

No. 9
Below is a geometry-optimized Pm3Sm5Y4 structure, with properties calculated at the GGA-PBE level.

```
12
Lattice="6.2629 0.0000 0.0000 -0.0076 7.2257 0.0000 -0.0038 -0.0072 8.8509" Properties=species:S:1:pos:R:3 pbc="T T T"
Pm 0.0000 0.0000 0.0000
Pm 1.0359 5.4126 5.8968
Pm 5.2156 1.8059 2.9540
Sm -0.0038 3.6129 0.0000
Sm 2.0889 0.0021 2.9568
Sm 3.1298 1.8132 0.0030
Sm 3.1217 5.4054 8.8479
Sm 4.1626 7.2164 5.8940
Y 1.0405 1.8085 5.8921
Y 2.0825 3.6107 2.9562
Y 4.1690 3.6078 5.8946
Y 5.2110 5.4100 2.9588
```

## Properties
* space group: P-1, No. 2
* energy above the most stable polymorph in this dataset: 0.00 eV per formula unit
* volume: 401 Å³ per cell

No. 10
Below is a geometry-optimized TbP2Pd2 structure, with properties calculated at the GGA-PBE level.

```
10
Lattice="4.1097 0.0000 0.0000 0.0000 4.1097 0.0000 0.0000 0.0000 9.9009" Properties=species:S:1:pos:R:3 pbc="T T T"
Tb 0.0000 0.0000 0.0000
Tb 2.0548 2.0548 4.9505
P 0.0000 0.0000 3.8480
P 0.0000 0.0000 6.0529
P 2.0548 2.0548 1.1024
P 2.0548 2.0548 8.7985
Pd 0.0000 2.0548 2.4752
Pd 0.0000 2.0548 7.4257
Pd 2.0548 0.0000 2.4752
Pd 2.0548 0.0000 7.4257
```

## Properties
* E: -6.103 eV/atom
* space group: I4/mmm, No. 139
* volume: 167 Å³ per cell

No. 11
Below is a geometry-optimized Sm2Cu2Se structure, with properties calculated at the GGA-PBE level.

```
15
Lattice="4.1424 0.0000 0.0000 -2.0712 3.5874 0.0000 0.0000 0.0000 22.6004" Properties=species:S:1:pos:R:3 pbc="T T T"
Sm 0.0000 0.0000 1.9466
Sm 0.0000 0.0000 20.6538
Sm 0.0000 2.3916 13.1203
Sm 0.0000 2.3916 17.0136
Sm 2.0712 1.1958 5.5868
Sm 2.0712 1.1958 9.4801
Cu 0.0000 0.0000 7.5127
Cu 0.0000 0.0000 15.0877
Cu 0.0000 2.3916 7.5542
Cu 0.0000 2.3916 22.5797
Cu 2.0712 1.1958 0.0207
Cu 2.0712 1.1958 15.0462
Se 0.0000 0.0000 11.3002
Se 0.0000 2.3916 3.7667
Se 2.0712 1.1958 18.8337
```

## Properties
* energy relative to the elements, uncorrected: -0.8514 eV per atom
* space group: R-3m, No. 166
* volume: 336 Å³ per cell

No. 12
Below is a geometry-optimized ScTi4Co5 structure, with properties calculated at the GGA-PBE level.

```
10
Lattice="2.9866 0.0000 0.0000 0.0000 2.9866 0.0000 0.0000 0.0000 15.2088" Properties=species:S:1:pos:R:3 pbc="T T T"
Sc 0.0000 0.0000 0.0000
Ti 0.0000 0.0000 3.1602
Ti 0.0000 0.0000 6.1337
Ti 0.0000 0.0000 9.0750
Ti 0.0000 0.0000 12.0486
Co 1.4933 1.4933 1.8138
Co 1.4933 1.4933 4.6879
Co 1.4933 1.4933 7.6044
Co 1.4933 1.4933 10.5209
Co 1.4933 1.4933 13.3949
```

## Properties
* E: -7.736 eV/atom
* space group: P4/mmm, No. 123
* volume: 136 Å³ per cell